Computed, not measured: a geometry-optimized BaMg2Ir structure at the PBE level of DFT.

Cell lengths 4.4401, 4.4401, 5.0360 Å; angles 90.00, 90.00, 90.00 degrees
Atoms (fractional coordinates):
Ba  0.0000  0.0000  0.0000
Mg  0.0000  0.5000  0.5000
Mg  0.5000  0.0000  0.5000
Ir  0.5000  0.5000  0.0000

DFT total energy: -13.03 eV per formula unit